VASP calculation (GGA-PBE) on GdMgInAg after structural relaxation.

Unit cell a=7.186 b=7.186 c=7.186 alpha=90.00 beta=90.00 gamma=90.00
Space group F-43m (No. 216)
Symmetry-distinct sites (fractional):
1 Gd 0.000 0.000 0.000 (multiplicity 4)
2 Mg 0.000 0.000 0.500 (multiplicity 4)
3 In 0.250 0.250 0.250 (multiplicity 4)
4 Ag 0.250 0.250 0.750 (multiplicity 4)

## Properties
As for the density of states at the Fermi level: 0.542 states/eV/atom. Its theoretical density is 7.236 Mg/m³. As for the calculated formation energy: -0.347 eV per atom.

***

VASP calculation (GGA-PBE) on NdGdInAg after structural relaxation.

Unit cell a=7.575 b=7.575 c=7.575 alpha=90.00 beta=90.00 gamma=90.00
Space group F-43m (No. 216)
Symmetry-distinct sites (fractional):
1 Nd 0.000 0.000 0.000 (multiplicity 4)
2 Gd 0.000 0.000 0.500 (multiplicity 4)
3 In 0.250 0.250 0.250 (multiplicity 4)
4 Ag 0.250 0.250 0.750 (multiplicity 4)

## Properties
As for the density of states at the Fermi level: 1.161 states/eV/atom. Its theoretical density is 8.010 Mg/m³. As for the calculated formation energy: -0.387 eV per atom.

***

VASP calculation (GGA-PBE) on GdInNiAg after structural relaxation.

Unit cell a=6.835 b=6.835 c=6.835 alpha=90.00 beta=90.00 gamma=90.00
Space group F-43m (No. 216)
Symmetry-distinct sites (fractional):
1 Gd 0.000 0.000 0.000 (multiplicity 4)
2 In 0.000 0.000 0.500 (multiplicity 4)
3 Ni 0.250 0.250 0.250 (multiplicity 4)
4 Ag 0.250 0.250 0.750 (multiplicity 4)

## Properties
As for the density of states at the Fermi level: 0.946 states/eV/atom. Its theoretical density is 9.126 Mg/m³. As for the calculated formation energy: -0.276 eV per atom.

***

VASP calculation (GGA-PBE) on GdInAgPb after structural relaxation.

Unit cell a=7.392 b=7.392 c=7.392 alpha=90.00 beta=90.00 gamma=90.00
Space group F-43m (No. 216)
Symmetry-distinct sites (fractional):
1 Gd 0.000 0.000 0.000 (multiplicity 4)
2 In 0.250 0.250 0.750 (multiplicity 4)
3 Ag 0.000 0.000 0.500 (multiplicity 4)
4 Pb 0.250 0.250 0.250 (multiplicity 4)

## Properties
As for the density of states at the Fermi level: 0.692 states/eV/atom. Its theoretical density is 9.654 Mg/m³. As for the calculated formation energy: -0.192 eV per atom.